A plane-wave DFT calculation with PBE was carried out for a relaxed structure of CaAcRu.

Cell lengths 7.3844, 7.3844, 7.3844 Å; angles 151.58, 151.58, 40.63 degrees
Atoms (fractional coordinates):
Ca 0.0000 0.0000 0.0000
Ac 0.2463 0.2463 0.0000
Ru 0.6277 0.6277 0.0000

Computed properties:
For the uncorrected energy, the calculation gives -0.1865 hartree per atom. The spin magnetization is 0.000 μB/f.u. The calculation puts the calculated volume at 30.3 Å³/atom. Its energy of formation from the pure elements is 0.16 eV per formula unit.